Entry 1:
Below is a relaxed LiAcPm2Tl4 crystal, with properties calculated at the PBE level.

Cell and atoms, written as POSCAR:
```
LiAcPm2Tl4
1.0
2.694 1.555 9.474
-2.694 1.555 9.474
0.000 -3.110 9.474
Li Ac Pm Tl
1 1 2 4
direct
0.000 0.000 0.000
0.500 0.500 0.500
0.260 0.260 0.260
0.740 0.740 0.740
0.116 0.116 0.116
0.372 0.372 0.372
0.628 0.628 0.628
0.884 0.884 0.884
```

Summary:
Raw total energy ... -3.444 eV/atom
N(E_F) ... 6.1 states/eV/cell
Volume ... 238 Å³/f.u.



Entry 2:
Below is a relaxed NiMo2WS crystal, with properties calculated at the PBE level.

Cell and atoms, written as POSCAR:
```
NiMo2WS
1.0
4.450 0.000 0.000
0.000 4.450 0.000
0.000 0.000 3.989
Ni Mo W S
1 2 1 1
direct
0.000 0.000 0.000
0.000 0.500 0.500
0.500 0.000 0.500
0.500 0.500 0.000
0.000 0.000 0.500
```

Summary:
Raw total energy ... -8.278 eV/atom
N(E_F) ... 4.9 states/eV/cell
Volume ... 79 Å³/f.u.



Entry 3:
Below is a relaxed Tb3Dy7Sc2 crystal, with properties calculated at the PBE level.

Cell and atoms, written as POSCAR:
```
Tb3Dy7Sc2
1.0
3.209 1.853 10.892
-3.209 1.853 10.892
0.000 -3.706 10.892
Tb Dy Sc
3 7 2
direct
0.000 0.000 0.000
0.153 0.153 0.153
0.847 0.847 0.847
0.080 0.583 0.583
0.417 0.417 0.920
0.417 0.920 0.417
0.500 0.500 0.500
0.583 0.080 0.583
0.583 0.583 0.080
0.920 0.417 0.417
0.333 0.333 0.333
0.667 0.667 0.667
```

Summary:
Distance to the lowest polymorph of the same formula ... 199 meV per atom
N(E_F) ... 21.4 states/eV/cell
Volume ... 389 Å³/f.u.



Entry 4:
Below is a relaxed TePPd2Pb crystal, with properties calculated at the PBE level.

Cell and atoms, written as POSCAR:
```
TePPd2Pb
1.0
4.957 0.000 0.000
0.000 4.957 0.000
0.000 0.000 5.302
Te P Pd Pb
1 1 2 1
direct
0.000 0.000 0.000
0.000 0.000 0.500
0.000 0.500 0.000
0.500 0.000 0.000
0.500 0.500 0.500
```

Summary:
Distance to the lowest polymorph of the same formula ... 0 meV per atom
N(E_F) ... 3.0 states/eV/cell
Volume ... 130 Å³/f.u.



Entry 5:
Below is a relaxed BaGaAg2S4 crystal, with properties calculated at the PBE level.

Cell and atoms, written as POSCAR:
```
BaGaAg2S4
1.0
6.804 0.000 0.000
0.000 6.938 0.000
0.000 0.000 7.994
Ba Ga Ag S
2 2 4 8
direct
0.000 0.000 0.000
0.500 0.500 0.500
0.000 0.000 0.500
0.500 0.500 0.000
0.000 0.500 0.215
0.000 0.500 0.785
0.500 0.000 0.285
0.500 0.000 0.715
0.195 0.193 0.335
0.195 0.807 0.665
0.305 0.307 0.835
0.305 0.693 0.165
0.695 0.307 0.165
0.695 0.693 0.835
0.805 0.193 0.665
0.805 0.807 0.335
```

Summary:
Raw total energy ... -4.192 eV/atom
N(E_F) ... 6.6 states/eV/cell
Volume ... 189 Å³/f.u.



Entry 6:
Below is a relaxed Ce5CoPb2 crystal, with properties calculated at the PBE level.

Cell and atoms, written as POSCAR:
```
Ce5CoPb2
1.0
11.191 0.000 0.000
0.000 7.134 0.000
-4.600 0.000 5.544
Ce Co Pb
10 2 4
direct
0.000 0.000 0.000
0.176 0.248 0.965
0.176 0.752 0.965
0.194 0.242 0.474
0.194 0.758 0.474
0.500 0.500 0.000
0.676 0.252 0.965
0.676 0.748 0.965
0.694 0.258 0.474
0.694 0.742 0.474
0.157 0.500 0.668
0.657 0.000 0.668
0.438 0.000 0.991
0.439 0.500 0.464
0.938 0.500 0.991
0.939 0.000 0.464
```

Summary:
Distance to the lowest polymorph of the same formula ... 106 meV per atom
N(E_F) ... 34.0 states/eV/cell
Volume ... 221 Å³/f.u.